1.
The following is a DFT calculation (PBE) of a geometry-optimized CaTiI2N structure.

Values from the calculation:
The theoretical density is 3.7 g/cm³. The raw total energy comes out at -3.783 eV per atom. Its calculated volume is 32.06 A^3/atom. Its space group is No. 123.

a b c (Å): 6.076 6.076 4.343
angles (deg): 90.00 90.00 90.00
Atoms (fractional coordinates):
I 0.000 0.500 0.000
I 0.500 0.000 0.000
Ca 0.000 0.000 0.000
N 0.000 0.000 0.500
Ti 0.500 0.500 0.500


2.
The following is a DFT calculation (PBE) of a geometry-optimized CaTiIN2 structure.

Values from the calculation:
The theoretical density is 4.3 g/cm³. The raw total energy comes out at -5.835 eV per atom. Its calculated volume is 18.55 A^3/atom. Its space group is No. 123.

a b c (Å): 4.110 4.110 5.489
angles (deg): 90.00 90.00 90.00
Atoms (fractional coordinates):
I 0.000 0.000 0.500
Ca 0.500 0.500 0.500
N 0.000 0.500 0.000
N 0.500 0.000 0.000
Ti 0.000 0.000 0.000


3.
The following is a DFT calculation (PBE) of a geometry-optimized CaTiI2N structure.

Values from the calculation:
The theoretical density is 4.6 g/cm³. The raw total energy comes out at -4.875 eV per atom. Its calculated volume is 25.70 A^3/atom. Its space group is No. 123.

a b c (Å): 5.774 5.774 3.854
angles (deg): 90.00 90.00 90.00
Atoms (fractional coordinates):
I 0.000 0.500 0.000
I 0.500 0.000 0.000
Ca 0.500 0.500 0.500
N 0.000 0.000 0.500
Ti 0.000 0.000 0.000


4.
The following is a DFT calculation (PBE) of a geometry-optimized CaVI2N structure.

Values from the calculation:
The theoretical density is 4.8 g/cm³. The raw total energy comes out at -4.967 eV per atom. Its calculated volume is 24.71 A^3/atom. Its space group is No. 123.

a b c (Å): 5.724 5.724 3.771
angles (deg): 90.00 90.00 90.00
Atoms (fractional coordinates):
I 0.000 0.500 0.000
I 0.500 0.000 0.000
Ca 0.500 0.500 0.500
N 0.000 0.000 0.500
V 0.000 0.000 0.000


5.
The following is a DFT calculation (PBE) of a geometry-optimized CaVI2N structure.

Values from the calculation:
The theoretical density is 3.5 g/cm³. The raw total energy comes out at -3.897 eV per atom. Its calculated volume is 33.63 A^3/atom. Its space group is No. 123.

a b c (Å): 6.100 6.100 4.518
angles (deg): 90.00 90.00 90.00
Atoms (fractional coordinates):
I 0.000 0.500 0.000
I 0.500 0.000 0.000
Ca 0.000 0.000 0.000
N 0.000 0.000 0.500
V 0.500 0.500 0.500


6.
The following is a DFT calculation (PBE) of a geometry-optimized CaWI2N structure.

Values from the calculation:
The theoretical density is 6.4 g/cm³. The raw total energy comes out at -5.340 eV per atom. Its calculated volume is 25.53 A^3/atom. Its space group is No. 123.

a b c (Å): 5.730 5.730 3.889
angles (deg): 90.00 90.00 90.00
Atoms (fractional coordinates):
I 0.000 0.500 0.000
I 0.500 0.000 0.000
Ca 0.500 0.500 0.500
W 0.000 0.000 0.000
N 0.000 0.000 0.500